Entry 1:
{
  "formula": "Tb3ErTh2Sb6",
  "functional": "PBE-GGA",
  "state": "relaxed",
  "sg": "No. 12",
  "formation_energy_uncorrected_mev_per_atom": -1065,
  "cell": [[4.440, 0.000, 0.000], [0.000, 8.844, 0.317], [-2.220, -2.546, 9.312]],
  "species": ["Tb", "Tb", "Tb", "Er", "Th", "Th", "Sb", "Sb", "Sb", "Sb", "Sb", "Sb"],
  "frac_coords": [[0.500, 0.500, 0.000], [0.832, 0.166, 0.665], [0.168, 0.834, 0.335], [0.500, 0.000, 0.000], [0.835, 0.669, 0.670], [0.165, 0.331, 0.330], [0.335, 0.923, 0.670], [0.665, 0.588, 0.331], [0.665, 0.077, 0.330], [0.997, 0.246, 0.995], [0.003, 0.754, 0.005], [0.335, 0.412, 0.669]]
}

Entry 2:
{
  "formula": "PmSm2Tc",
  "functional": "PBE-GGA",
  "state": "relaxed",
  "formation_energy_ev_per_atom": 0.329,
  "sg": "No. 166",
  "de_polymorph_ev_per_fu": 1.37,
  "cell": [[3.482, 0.000, 0.000], [1.741, 3.015, 0.000], [1.741, 1.005, 11.134]],
  "species": ["Tc", "Sm", "Sm", "Pm"],
  "frac_coords": [[0.500, 0.500, 0.500], [0.105, 0.105, 0.684], [0.895, 0.895, 0.316], [0.000, 0.000, 0.000]]
}

Entry 3:
{
  "formula": "CsRhN2",
  "functional": "PBE-GGA",
  "state": "relaxed",
  "sg": "No. 122",
  "formation_energy_uncorrected_mev_per_atom": 458,
  "de_polymorph_ev_per_fu": 0.00,
  "cell": [[-3.081, -1.276, -5.141], [-0.287, -5.898, 1.636], [-5.256, -2.869, 0.210]],
  "species": ["Cs", "Cs", "Rh", "Rh", "N", "N", "N", "N"],
  "frac_coords": [[0.000, 0.000, 0.000], [0.750, 0.250, 0.500], [0.500, 0.500, 0.000], [0.250, 0.750, 0.500], [0.458, 0.125, 0.250], [0.292, 0.625, 0.250], [0.375, 0.542, 0.750], [0.875, 0.708, 0.750]]
}

Entry 4:
{
  "formula": "HfN",
  "functional": "PBE-GGA",
  "state": "relaxed",
  "sg": "No. 59",
  "formation_energy_uncorrected_mev_per_atom": -1477,
  "cell": [[3.502, 0.000, 0.000], [0.000, 4.904, 0.000], [0.000, 0.000, 10.553]],
  "species": ["Hf", "Hf", "Hf", "Hf", "Hf", "Hf", "N", "N", "N", "N", "N", "N"],
  "frac_coords": [[0.000, 0.774, 0.826], [0.500, 0.226, 0.674], [0.500, 0.226, 0.326], [0.000, 0.774, 0.174], [0.000, 0.700, 0.500], [0.500, 0.300, 0.000], [0.000, 0.993, 0.644], [0.500, 0.007, 0.856], [0.500, 0.007, 0.144], [0.000, 0.993, 0.356], [0.000, 0.533, 0.000], [0.500, 0.467, 0.500]]
}

Entry 5:
{
  "formula": "V4Cr2Se9",
  "functional": "PBE-GGA",
  "state": "relaxed",
  "sg": "No. 15",
  "formation_energy_uncorrected_mev_per_atom": -615,
  "cell": [[6.493, 0.001, 0.014], [3.246, 5.464, 0.075], [-0.036, 0.036, 17.026]],
  "species": ["V", "V", "V", "V", "V", "V", "V", "V", "Cr", "Cr", "Cr", "Cr", "Se", "Se", "Se", "Se", "Se", "Se", "Se", "Se", "Se", "Se", "Se", "Se", "Se", "Se", "Se", "Se", "Se", "Se"],
  "frac_coords": [[0.344, 0.310, 0.996], [0.346, 0.310, 0.496], [0.656, 0.690, 0.004], [0.326, 0.343, 0.174], [0.654, 0.690, 0.504], [0.669, 0.657, 0.326], [0.331, 0.343, 0.674], [0.674, 0.657, 0.826], [0.002, 0.006, 0.343], [0.008, 0.994, 0.157], [0.998, 0.994, 0.657], [0.992, 0.006, 0.843], [0.995, 0.322, 0.746], [0.317, 0.678, 0.754], [0.685, 0.000, 0.750], [0.005, 0.678, 0.254], [0.683, 0.322, 0.246], [0.315, 0.000, 0.250], [0.659, 0.996, 0.410], [0.988, 0.347, 0.421], [0.351, 0.661, 0.417], [0.656, 0.004, 0.090], [0.335, 0.653, 0.079], [0.012, 0.339, 0.083], [0.341, 0.004, 0.590], [0.012, 0.653, 0.579], [0.649, 0.339, 0.583], [0.344, 0.996, 0.910], [0.665, 0.347, 0.921], [0.988, 0.661, 0.917]]
}

Entry 6:
{
  "formula": "Ac2Nd2Th",
  "functional": "PBE-GGA",
  "state": "relaxed",
  "formation_energy_ev_per_atom": 0.065,
  "sg": "No. 12",
  "cell": [[-0.410, -3.650, 0.873], [0.791, -2.655, -2.565], [14.636, -0.432, 4.988]],
  "species": ["Ac", "Ac", "Nd", "Nd", "Th"],
  "frac_coords": [[0.334, 0.334, 0.607], [0.666, 0.666, 0.393], [0.334, 0.334, 0.184], [0.666, 0.666, 0.816], [0.000, 0.000, 0.000]]
}